No. 1
# Nb6SnOs | the Open Quantum Materials Database | PBE-GGA | optimized geometry
# Crystal system   cubic
# Size of the total moment   0.004 μB/cell
# Uncorrected energy   -77.330 eV per cell
data_Nb6SnOs
_chemical_formula_sum 'Nb6 Sn1 Os1'
_cell_length_a 5.242
_cell_length_b 5.242
_cell_length_c 5.242
_cell_angle_alpha 90.00
_cell_angle_beta 90.00
_cell_angle_gamma 90.00
_symmetry_space_group_name_H-M 'P m -3'
_symmetry_Int_Tables_number 200
_symmetry_space_group_name_Hall '-P 2 2 3'
loop_
_atom_site_label
_atom_site_type_symbol
_atom_site_fract_x
_atom_site_fract_y
_atom_site_fract_z
Nb1 Nb 0.000 0.258 0.500
Sn1 Sn 0.000 0.000 0.000
Os1 Os 0.500 0.500 0.500

=====

No. 2
# TaNb2Os | the Open Quantum Materials Database | PBE-GGA | optimized geometry
# Crystal system   tetragonal
# Formation energy from the elements   -279 meV per atom
# Size of the total moment   0.012 μB/cell
# Uncorrected energy   -88.763 eV per cell
data_TaNb2Os
_chemical_formula_sum 'Ta2 Nb4 Os2'
_cell_length_a 5.151
_cell_length_b 5.151
_cell_length_c 5.204
_cell_angle_alpha 90.00
_cell_angle_beta 90.00
_cell_angle_gamma 90.00
_symmetry_space_group_name_H-M 'P 42/m m c'
_symmetry_Int_Tables_number 131
_symmetry_space_group_name_Hall '-P 4c 2'
loop_
_atom_site_label
_atom_site_type_symbol
_atom_site_fract_x
_atom_site_fract_y
_atom_site_fract_z
Ta1 Ta 0.000 0.000 0.250
Nb1 Nb 0.250 0.500 0.000
Os1 Os 0.000 0.500 0.500

=====

No. 3
# Ta2Nb4Os | the Open Quantum Materials Database | PBE-GGA | optimized geometry
# Crystal system   tetragonal
# Formation energy from the elements   604 meV per atom
# Size of the total moment   0.009 μB/cell
# Uncorrected energy   -142.153 eV per cell
data_Ta2Nb4Os
_chemical_formula_sum 'Ta4 Nb8 Os2'
_cell_length_a 6.601
_cell_length_b 6.601
_cell_length_c 6.116
_cell_angle_alpha 90.00
_cell_angle_beta 90.00
_cell_angle_gamma 90.00
_symmetry_space_group_name_H-M 'I 4/m m m'
_symmetry_Int_Tables_number 139
_symmetry_space_group_name_Hall '-I 4 2'
loop_
_atom_site_label
_atom_site_type_symbol
_atom_site_fract_x
_atom_site_fract_y
_atom_site_fract_z
Ta1 Ta 0.000 0.500 0.250
Nb1 Nb 0.217 0.217 0.000
Os1 Os 0.000 0.000 0.500

=====

No. 4
# TaNb2Os | the Open Quantum Materials Database | PBE-GGA | optimized geometry
# Crystal system   orthorhombic
# Formation energy from the elements   -279 meV per atom
# Size of the total moment   0.028 μB/cell
# Uncorrected energy   -177.523 eV per cell
data_TaNb2Os
_chemical_formula_sum 'Ta4 Nb8 Os4'
_cell_length_a 5.146
_cell_length_b 7.325
_cell_length_c 7.325
_cell_angle_alpha 90.00
_cell_angle_beta 90.00
_cell_angle_gamma 90.00
_symmetry_space_group_name_H-M 'A m a 2'
_symmetry_Int_Tables_number 40
loop_
_symmetry_equiv_pos_as_xyz
'x,y,z'
'-x,-y,z'
'-x+1/2,y,z'
'x+1/2,-y,z'
'x,y+1/2,z+1/2'
'-x,-y+1/2,z+1/2'
'-x+1/2,y+1/2,z+1/2'
'x+1/2,-y+1/2,z+1/2'
loop_
_atom_site_label
_atom_site_type_symbol
_atom_site_fract_x
_atom_site_fract_y
_atom_site_fract_z
Ta1 Ta 0.250 0.125 0.000
Nb1 Nb 0.000 0.000 0.626
Nb2 Nb 0.250 0.375 0.750
Os1 Os 0.250 0.251 0.375

=====

No. 5
# TbNbOs | the Open Quantum Materials Database | PBE-GGA | optimized geometry
# Crystal system   cubic
# Formation energy from the elements   534 meV per atom
# Size of the total moment   0.005 μB/cell
# Uncorrected energy   -97.391 eV per cell
data_TbNbOs
_chemical_formula_sum 'Tb4 Nb4 Os4'
_cell_length_a 6.378
_cell_length_b 6.378
_cell_length_c 6.378
_cell_angle_alpha 90.00
_cell_angle_beta 90.00
_cell_angle_gamma 90.00
_symmetry_space_group_name_H-M 'F -4 3 m'
_symmetry_Int_Tables_number 216
_symmetry_space_group_name_Hall 'F -4 2 3'
loop_
_atom_site_label
_atom_site_type_symbol
_atom_site_fract_x
_atom_site_fract_y
_atom_site_fract_z
Tb1 Tb 0.000 0.000 0.000
Nb1 Nb 0.250 0.250 0.750
Os1 Os 0.000 0.000 0.500

=====

No. 6
# NbTcOs | the Open Quantum Materials Database | PBE-GGA | optimized geometry
# Crystal system   cubic
# Formation energy from the elements   442 meV per atom
# Energy above the lowest structure with this stoichiometry   0 meV/atom
# Size of the total moment   0.009 μB/cell
# Uncorrected energy   -121.413 eV per cell
data_NbTcOs
_chemical_formula_sum 'Nb4 Tc4 Os4'
_cell_length_a 6.048
_cell_length_b 6.048
_cell_length_c 6.048
_cell_angle_alpha 90.00
_cell_angle_beta 90.00
_cell_angle_gamma 90.00
_symmetry_space_group_name_H-M 'F -4 3 m'
_symmetry_Int_Tables_number 216
_symmetry_space_group_name_Hall 'F -4 2 3'
loop_
_atom_site_label
_atom_site_type_symbol
_atom_site_fract_x
_atom_site_fract_y
_atom_site_fract_z
Nb1 Nb 0.000 0.000 0.000
Tc1 Tc 0.000 0.000 0.500
Os1 Os 0.250 0.250 0.250

=====

No. 7
# Nb2TcOs | the Open Quantum Materials Database | PBE-GGA | optimized geometry
# Crystal system   cubic
# Formation energy from the elements   -36 meV per atom
# Size of the total moment   0.035 μB/cell
# Uncorrected energy   -167.681 eV per cell
data_Nb2TcOs
_chemical_formula_sum 'Nb8 Tc4 Os4'
_cell_length_a 6.360
_cell_length_b 6.360
_cell_length_c 6.360
_cell_angle_alpha 90.00
_cell_angle_beta 90.00
_cell_angle_gamma 90.00
_symmetry_space_group_name_H-M 'F -4 3 m'
_symmetry_Int_Tables_number 216
_symmetry_space_group_name_Hall 'F -4 2 3'
loop_
_atom_site_label
_atom_site_type_symbol
_atom_site_fract_x
_atom_site_fract_y
_atom_site_fract_z
Nb1 Nb 0.000 0.000 0.000
Nb2 Nb 0.250 0.250 0.250
Tc1 Tc 0.000 0.000 0.500
Os1 Os 0.250 0.250 0.750

=====

No. 8
# NbTeOs | the Open Quantum Materials Database | PBE-GGA | optimized geometry
# Crystal system   cubic
# Energy above the lowest structure with this stoichiometry   0 meV/atom
# Size of the total moment   0.126 μB/cell
# Uncorrected energy   -97.033 eV per cell
data_NbTeOs
_chemical_formula_sum 'Nb4 Te4 Os4'
_cell_length_a 6.256
_cell_length_b 6.256
_cell_length_c 6.256
_cell_angle_alpha 90.00
_cell_angle_beta 90.00
_cell_angle_gamma 90.00
_symmetry_space_group_name_H-M 'F -4 3 m'
_symmetry_Int_Tables_number 216
_symmetry_space_group_name_Hall 'F -4 2 3'
loop_
_atom_site_label
_atom_site_type_symbol
_atom_site_fract_x
_atom_site_fract_y
_atom_site_fract_z
Nb1 Nb 0.000 0.000 0.000
Te1 Te 0.000 0.000 0.500
Os1 Os 0.250 0.250 0.250